# NaGd2Fe (GGA-PBE, relaxed)
data_NaGd2Fe
_space_group_name_H-M_alt 'P 4/m m m'
_space_group_IT_number 123
_space_group_name_Hall '-P 4 2'
_cell_length_a 3.408
_cell_length_b 3.408
_cell_length_c 9.367
_cell_angle_alpha 90.00
_cell_angle_beta 90.00
_cell_angle_gamma 90.00
loop_
_atom_site_label
_atom_site_fract_x
_atom_site_fract_y
_atom_site_fract_z
Na1 0.000 0.000 0.000
Gd1 0.500 0.500 0.327
Fe1 0.000 0.000 0.500
# relative energy among the computed polymorphs: 0.000 eV per atom
# DOS(E_F): 0.960 states/eV per atom



# NaGd3Fe (GGA-PBE, relaxed)
data_NaGd3Fe
_space_group_name_H-M_alt 'P m -3 m'
_space_group_IT_number 221
_space_group_name_Hall '-P 4 2 3'
_cell_length_a 5.328
_cell_length_b 5.328
_cell_length_c 5.328
_cell_angle_alpha 90.00
_cell_angle_beta 90.00
_cell_angle_gamma 90.00
loop_
_atom_site_label
_atom_site_fract_x
_atom_site_fract_y
_atom_site_fract_z
Na1 0.000 0.000 0.000
Gd1 0.000 0.500 0.500
Fe1 0.500 0.500 0.500
# DOS(E_F): 0.791 states/eV per atom



# NaGd2Fe (GGA-PBE, relaxed)
data_NaGd2Fe
_space_group_name_H-M_alt 'R -3 m'
_space_group_IT_number 166
_space_group_name_Hall '-R 3 2"'
_cell_length_a 3.7691
_cell_length_b 3.7691
_cell_length_c 31.1348
_cell_angle_alpha 90.00
_cell_angle_beta 90.00
_cell_angle_gamma 120.00
loop_
_atom_site_label
_atom_site_fract_x
_atom_site_fract_y
_atom_site_fract_z
Na1 0.0000 0.0000 0.0000
Gd1 0.0000 0.0000 0.1168
Fe1 0.0000 0.0000 0.5000
# relative energy among the computed polymorphs: 0.154 eV per atom
# DOS(E_F): 0.867 states/eV per atom



# GdNbFe4 (GGA-PBE, relaxed)
data_GdNbFe4
_space_group_name_H-M_alt 'F -4 3 m'
_space_group_IT_number 216
_space_group_name_Hall 'F -4 2 3'
_cell_length_a 7.073
_cell_length_b 7.073
_cell_length_c 7.073
_cell_angle_alpha 90.00
_cell_angle_beta 90.00
_cell_angle_gamma 90.00
loop_
_atom_site_label
_atom_site_fract_x
_atom_site_fract_y
_atom_site_fract_z
Gd1 0.000 0.000 0.000
Nb1 0.250 0.250 0.250
Fe1 0.124 0.124 0.624
# DOS(E_F): 0.660 states/eV per atom



# GdNbFeRu (GGA-PBE, relaxed)
data_GdNbFeRu
_space_group_name_H-M_alt 'F -4 3 m'
_space_group_IT_number 216
_space_group_name_Hall 'F -4 2 3'
_cell_length_a 6.517
_cell_length_b 6.517
_cell_length_c 6.517
_cell_angle_alpha 90.00
_cell_angle_beta 90.00
_cell_angle_gamma 90.00
loop_
_atom_site_label
_atom_site_fract_x
_atom_site_fract_y
_atom_site_fract_z
Gd1 0.000 0.000 0.000
Nb1 0.000 0.000 0.500
Fe1 0.250 0.250 0.750
Ru1 0.250 0.250 0.250
# DOS(E_F): 0.875 states/eV per atom



# Nd3GdFe (GGA-PBE, relaxed)
data_Nd3GdFe
_space_group_name_H-M_alt 'P m -3 m'
_space_group_IT_number 221
_space_group_name_Hall '-P 4 2 3'
_cell_length_a 5.408
_cell_length_b 5.408
_cell_length_c 5.408
_cell_angle_alpha 90.00
_cell_angle_beta 90.00
_cell_angle_gamma 90.00
loop_
_atom_site_label
_atom_site_fract_x
_atom_site_fract_y
_atom_site_fract_z
Nd1 0.000 0.000 0.500
Gd1 0.500 0.500 0.500
Fe1 0.000 0.000 0.000
# DOS(E_F): 1.895 states/eV per atom



Number 1: total magnetization 3.3238 μB per atom, volume 109 Å³ per cell, ΔE_f 0.070 eV per atom. Number 2: total magnetization 4.3270 μB per atom, volume 151 Å³ per cell, ΔE_f 0.119 eV per atom. Number 3: total magnetization 3.4742 μB per atom, volume 383 Å³ per cell, ΔE_f 0.224 eV per atom. Number 4: total magnetization 2.1948 μB per atom, volume 354 Å³ per cell, ΔE_f 0.012 eV per atom. Number 5: total magnetization 1.6393 μB per atom, volume 277 Å³ per cell, ΔE_f 0.004 eV per atom. Number 6: total magnetization 1.5653 μB per atom, volume 158 Å³ per cell, ΔE_f 0.191 eV per atom.